Run A
CrIn3P | the Alexandria database | PBE | optimized geometry; size of the total moment = 0.7 μB per formula unit; mass density = 5.3 g/cm3; space group = Pm-3m (221); DOS(E_F) = 9.77 states/eV per cell
1.0
5.116 0.000 0.000
0.000 5.116 0.000
0.000 0.000 5.116
Cr In P
1 3 1
Cartesian
0.000 0.000 0.000
0.000 2.558 2.558
2.558 0.000 2.558
2.558 2.558 0.000
2.558 2.558 2.558

=====

Run B
CrIn3P | the Alexandria database | PBE | optimized geometry; size of the total moment = 5.2 μB per formula unit; mass density = 5.0 g/cm3; space group = Pm-3m (221); DOS(E_F) = 5.89 states/eV per cell
1.0
5.206 0.000 0.000
0.000 5.206 0.000
0.000 0.000 5.206
Cr In P
1 3 1
Cartesian
0.000 0.000 0.000
0.000 0.000 2.603
0.000 2.603 0.000
2.603 0.000 0.000
2.603 2.603 2.603

=====

What should be chosen as the least stable of them? Choose run A.

=====

Run A
CrIn2P2 | the Alexandria database | PBE | optimized geometry; size of the total moment = 0.2 μB per formula unit; mass density = 5.3 g/cm3; space group = I4/mmm (139); DOS(E_F) = 6.34 states/eV per cell
1.0
-1.925 1.925 7.201
1.925 -1.925 7.201
1.925 1.925 -7.201
Cr In P
1 2 2
Cartesian
0.000 0.000 0.000
1.925 0.000 3.601
0.000 1.925 3.601
0.000 0.000 6.138
0.000 0.000 8.264

=====

Run B
CrIn2P2 | the Alexandria database | PBE | optimized geometry; size of the total moment = 0.0 μB per formula unit; mass density = 6.4 g/cm3; space group = P4/mbm (127); DOS(E_F) = 3.96 states/eV per cell
1.0
6.065 0.000 0.000
0.000 6.065 0.000
0.000 0.000 4.872
Cr In P
2 4 4
Cartesian
0.000 0.000 0.000
3.033 3.033 0.000
1.137 1.895 2.436
1.895 4.928 2.436
4.170 1.137 2.436
4.928 4.170 2.436
0.858 3.891 0.000
2.175 0.858 0.000
3.891 5.207 0.000
5.207 2.175 0.000

=====

What should be chosen as the least stable of them? Choose run A.

=====

Run A
CrInP | the Alexandria database | PBE | optimized geometry; size of the total moment = 0.3 μB per formula unit; mass density = 6.6 g/cm3; space group = P3m1 (156); DOS(E_F) = 1.87 states/eV per cell
1.0
3.063 0.000 0.000
-1.531 2.652 0.000
0.000 0.000 6.142
Cr In P
1 1 1
Cartesian
0.000 0.000 0.000
1.531 0.884 2.205
0.000 1.768 4.714

=====

Run B
CrInP | the Alexandria database | PBE | optimized geometry; size of the total moment = 0.0 μB per formula unit; mass density = 6.6 g/cm3; space group = P-6m2 (187); DOS(E_F) = 2.29 states/eV per cell
1.0
3.894 0.000 0.000
-1.947 3.372 0.000
0.000 0.000 3.808
Cr In P
1 1 1
Cartesian
0.000 0.000 0.000
1.947 1.124 1.904
0.000 2.248 0.000

=====

What should be chosen as the least stable of them? Choose run B.

=====

Run A
CrInP | the Alexandria database | PBE | optimized geometry; size of the total moment = 3.7 μB per formula unit; mass density = 5.5 g/cm3; space group = F-43m (216); DOS(E_F) = 0.85 states/eV per cell
1.0
0.000 3.103 3.103
3.103 0.000 3.103
3.103 3.103 0.000
Cr In P
1 1 1
Cartesian
0.000 0.000 0.000
1.552 1.552 1.552
4.655 4.655 4.655

=====

Run B
CrInP | the Alexandria database | PBE | optimized geometry; size of the total moment = 0.2 μB per formula unit; mass density = 7.0 g/cm3; space group = I4mm (107); DOS(E_F) = 2.34 states/eV per cell
1.0
-1.552 1.552 4.885
1.552 -1.552 4.885
1.552 1.552 -4.885
Cr In P
1 1 1
Cartesian
0.000 0.000 0.000
0.000 0.000 6.864
0.000 0.000 4.024

=====

What should be chosen as the least stable of them? Choose run A.

=====

Run A
CrInSiP | the Alexandria database | PBE | optimized geometry; size of the total moment = 0.9 μB per formula unit; mass density = 5.4 g/cm3; space group = Amm2 (38); DOS(E_F) = 2.39 states/eV per cell
1.0
2.835 0.000 0.000
0.000 1.862 6.522
0.000 -1.862 6.522
Cr In Si P
1 1 1 1
Cartesian
0.000 0.000 0.000
1.417 0.000 10.501
1.417 0.000 1.995
1.417 0.000 6.437

=====

Run B
CrInSiP | the Alexandria database | PBE | optimized geometry; size of the total moment = 0.0 μB per formula unit; mass density = 5.6 g/cm3; space group = R3m (160); DOS(E_F) = 2.12 states/eV per cell
1.0
1.514 0.874 8.501
-1.514 0.874 8.501
0.000 -1.748 8.501
Cr In Si P
1 1 1 1
Cartesian
0.000 0.000 0.000
0.000 0.000 12.625
0.000 0.000 15.298
0.000 0.000 9.954

=====

Run C
CrInSiP | the Alexandria database | PBE | optimized geometry; size of the total moment = 0.0 μB per formula unit; mass density = 5.6 g/cm3; space group = P1 (1); DOS(E_F) = 2.13 states/eV per cell
1.0
3.175 0.000 0.000
1.584 3.915 0.000
1.582 0.679 5.416
Cr In Si P
1 1 1 1
Cartesian
0.000 0.000 0.000
3.178 0.427 3.058
3.173 2.553 1.349
3.169 2.338 5.181

=====

Run D
CrInSiP | the Alexandria database | PBE | optimized geometry; size of the total moment = 0.6 μB per formula unit; mass density = 5.5 g/cm3; space group = Amm2 (38); DOS(E_F) = 1.85 states/eV per cell
1.0
2.945 0.000 0.000
0.000 1.913 6.083
0.000 -1.913 6.083
Cr In Si P
1 1 1 1
Cartesian
0.000 0.000 0.000
1.473 0.000 9.727
1.473 0.000 5.989
1.473 0.000 1.761

=====

What should be chosen as the least stable of them? Choose run A.

=====

Run A
CrInPb | the Alexandria database | PBE | optimized geometry; size of the total moment = 3.9 μB per formula unit; mass density = 8.6 g/cm3; space group = P3m1 (156); DOS(E_F) = 1.75 states/eV per cell
1.0
3.449 0.000 0.000
-1.725 2.987 0.000
0.000 0.000 7.029
Cr In Pb
1 1 1
Cartesian
0.000 0.000 0.000
1.725 0.996 2.109
0.000 1.992 4.796

=====

Run B
CrInPb | the Alexandria database | PBE | optimized geometry; size of the total moment = 4.1 μB per formula unit; mass density = 8.7 g/cm3; space group = I4mm (107); DOS(E_F) = 2.33 states/eV per cell
1.0
-1.715 1.715 6.091
1.715 -1.715 6.091
1.715 1.715 -6.091
Cr In Pb
1 1 1
Cartesian
0.000 0.000 0.000
0.000 0.000 7.757
0.000 0.000 4.154

=====

Run C
CrInPb | the Alexandria database | PBE | optimized geometry; size of the total moment = 3.6 μB per formula unit; mass density = 8.3 g/cm3; space group = F-43m (216); DOS(E_F) = 1.61 states/eV per cell
1.0
0.000 3.349 3.349
3.349 0.000 3.349
3.349 3.349 0.000
Cr In Pb
1 1 1
Cartesian
0.000 0.000 0.000
1.675 1.675 1.675
5.024 5.024 5.024

=====

What should be chosen as the least stable of them? Choose run A.